1.
A geometry-optimized PmTh2PaSb4 structure, computed with GGA-PBE.

abc: 7.7331 4.4607 7.7438
angles: 90.00 109.38 90.00
Last column: nearest neighbours and their distance in Å.
Element x y z (fractional)
1 Pm 0.0000 0.0000 0.0000  6 Sb 3.14-3.15
2 Th 0.5000 0.0000 0.5000  6 Sb 3.17
3 Th 0.5000 0.5000 0.0000  6 Sb 3.20
4 Pa 0.0000 0.5000 0.5000  6 Sb 3.11-3.12
5 Sb 0.2422 0.0000 0.7446  2 Pa 3.12, 1 Pm 3.14, 3 Th 3.17-3.20
6 Sb 0.2447 0.5000 0.2521  1 Pa 3.11, 2 Pm 3.15, 3 Th 3.17-3.20
7 Sb 0.7553 0.5000 0.7479  1 Pa 3.11, 2 Pm 3.15, 3 Th 3.17-3.20
8 Sb 0.7578 0.0000 0.2554  2 Pa 3.12, 1 Pm 3.14, 3 Th 3.17-3.20

Computed properties:
**M_tot**: 0.09 μB per atom
**ΔE_f (raw)**: -0.858 eV/atom

2.
A geometry-optimized PmTh2PaSb5 structure, computed with GGA-PBE.

abc: 5.4129 5.4129 11.6326
angles: 90.00 90.00 90.00
Last column: nearest neighbours and their distance in Å.
Element x y z (fractional)
1 Pm 0.0000 0.0000 0.0000  6 Sb 2.71-2.96
2 Th 0.5000 0.5000 0.1672  4 Sb 3.33
3 Th 0.5000 0.5000 0.8328  4 Sb 3.33
4 Pa 0.0000 0.0000 0.5000  2 Sb 2.85
5 Sb 0.0000 0.0000 0.2546  1 Pa 2.85, 1 Pm 2.96
6 Sb 0.0000 0.0000 0.7454  1 Pa 2.85, 1 Pm 2.96
7 Sb 0.0000 0.5000 0.0000  2 Pm 2.71
8 Sb 0.5000 0.0000 0.0000  2 Pm 2.71
9 Sb 0.5000 0.5000 0.5000  4 Pa 3.83, 2 Th 3.87

Computed properties:
**M_tot**: 0.12 μB per atom
**ΔE_f (raw)**: 0.085 eV/atom

3.
A geometry-optimized Pm2ThPaSb4 structure, computed with GGA-PBE.

abc: 7.7342 4.4615 7.7367
angles: 90.00 109.43 90.00
Last column: nearest neighbours and their distance in Å.
Element x y z (fractional)
1 Pm 0.0000 0.0000 0.0000  6 Sb 3.19-3.20
2 Pm 0.5000 0.5000 0.0000  6 Sb 3.15
3 Th 0.0000 0.5000 0.5000  6 Sb 3.17
4 Pa 0.5000 0.0000 0.5000  6 Sb 3.12
5 Sb 0.2545 0.0000 0.7481  1 Pa 3.12, 3 Pm 3.15-3.20, 2 Th 3.17
6 Sb 0.2562 0.5000 0.2546  2 Pa 3.12, 3 Pm 3.15-3.19, 1 Th 3.17
7 Sb 0.7438 0.5000 0.7454  2 Pa 3.12, 3 Pm 3.15-3.19, 1 Th 3.17
8 Sb 0.7455 0.0000 0.2519  1 Pa 3.12, 3 Pm 3.15-3.20, 2 Th 3.17

Computed properties:
**M_tot**: 0.11 μB per atom
**ΔE_f (raw)**: -0.930 eV/atom